# 1
! HfCr2SnSe6, optimized geometry, DFT GGA-PBE; values from VASP
&SYSTEM
  ibrav = 0, nat = 10, ntyp = 4
/
ATOMIC_SPECIES
Hf 178.49 Hf.upf
Cr 52.00 Cr.upf
Sn 118.71 Sn.upf
Se 78.96 Se.upf
ATOMIC_POSITIONS angstrom
Hf 3.369 1.945 0.251
Cr 6.738 3.891 2.807
Cr 3.369 1.946 5.832
Sn 10.107 5.835 3.388
Se 5.778 1.909 1.422
Se 5.502 5.713 1.421
Se 8.934 4.049 1.422
Se 7.491 5.771 4.455
Se 7.991 2.298 4.455
Se 4.734 3.602 4.455
CELL_PARAMETERS angstrom
6.738 -0.001 0.002
3.369 5.836 0.001
3.370 1.945 5.962
! ΔE_f (raw)	-0.6344	eV per atom
! M_tot	6.1	μB per cell
! DFT total energy	-0.2222	hartree per atom
! space group	No. 146



# 2
! ZrPa2Ta, optimized geometry, DFT GGA-PBE; values from VASP
&SYSTEM
  ibrav = 0, nat = 4, ntyp = 3
/
ATOMIC_SPECIES
Pa 231.04 Pa.upf
Zr 91.22 Zr.upf
Ta 180.95 Ta.upf
ATOMIC_POSITIONS angstrom
Pa 7.322 4.228 3.380
Pa 2.441 1.409 1.149
Zr 0.000 0.000 0.000
Ta 4.882 2.818 2.265
CELL_PARAMETERS angstrom
4.882 0.000 0.000
2.441 4.228 0.000
2.441 1.409 4.529
! M_tot	0.0	μB per cell
! DFT total energy	-0.3492	hartree per atom
! relative energy among the computed polymorphs	0.145	eV per atom
! space group	No. 166



# 3
! Nd3Zn, optimized geometry, DFT GGA-PBE; values from VASP
&SYSTEM
  ibrav = 0, nat = 4, ntyp = 2
/
ATOMIC_SPECIES
Zn 65.41 Zn.upf
Nd 144.24 Nd.upf
ATOMIC_POSITIONS angstrom
Zn 0.000 0.000 0.000
Nd 0.000 2.443 2.443
Nd 2.443 0.000 2.443
Nd 2.443 2.443 0.000
CELL_PARAMETERS angstrom
4.886 0.000 0.000
0.000 4.886 0.000
0.000 0.000 4.886
! M_tot	0.0	μB per cell
! DFT total energy	-0.1445	hartree per atom
! space group	No. 221



# 4
! SbSe2I, optimized geometry, DFT GGA-PBE; values from VASP
&SYSTEM
  ibrav = 0, nat = 4, ntyp = 3
/
ATOMIC_SPECIES
I 126.90 I.upf
Sb 121.76 Sb.upf
Se 78.96 Se.upf
ATOMIC_POSITIONS angstrom
I -12.323 -6.395 1.347
Sb 0.000 0.000 0.000
Se -22.462 -11.657 2.455
Se -2.183 -1.133 0.239
CELL_PARAMETERS angstrom
-9.305 -2.372 -0.095
-7.434 -6.060 -0.486
-7.906 -4.358 3.275
! ΔE_f (raw)	0.4805	eV per atom
! M_tot	0.0	μB per cell
! DFT total energy	-0.0985	hartree per atom
! relative energy among the computed polymorphs	0.557	eV per atom
! space group	No. 166



# 5
! CaPaGaIr, optimized geometry, DFT GGA-PBE; values from VASP
&SYSTEM
  ibrav = 0, nat = 4, ntyp = 4
/
ATOMIC_SPECIES
Ca 40.08 Ca.upf
Pa 231.04 Pa.upf
Ga 69.72 Ga.upf
Ir 192.22 Ir.upf
ATOMIC_POSITIONS angstrom
Ca 4.957 2.862 2.024
Pa 0.000 0.000 0.000
Ga 2.478 1.431 1.012
Ir 7.435 4.293 3.035
CELL_PARAMETERS angstrom
4.957 0.000 0.000
2.478 4.293 0.000
2.478 1.431 4.047
! M_tot	0.0	μB per cell
! DFT total energy	-0.2271	hartree per atom
! space group	No. 216



# 6
! NaTe2N2, optimized geometry, DFT GGA-PBE; values from VASP
&SYSTEM
  ibrav = 0, nat = 5, ntyp = 3
/
ATOMIC_SPECIES
Na 22.99 Na.upf
Te 127.60 Te.upf
N 14.01 N.upf
ATOMIC_POSITIONS angstrom
Na -3.878 -1.323 -1.115
Te 0.000 0.000 0.000
Te -2.839 0.843 0.640
N -0.535 -2.015 0.282
N -0.504 -0.151 -2.037
CELL_PARAMETERS angstrom
-1.009 -0.302 -4.075
-1.070 -4.031 0.563
-5.677 1.687 1.281
! ΔE_f (raw)	1.0938	eV per atom
! M_tot	1.9	μB per cell
! DFT total energy	-0.1381	hartree per atom
! relative energy among the computed polymorphs	0.000	eV per atom
! space group	No. 123